Compound: NaSnNF2
Source: Alexandria
Functional: PBE
Structure: relaxed

Calculated values
- Total energy: -0.151 hartree per atom
- Relative energy among the computed polymorphs: 3.188 eV per formula unit
- Crystal system: tetragonal

Cell lengths 4.082, 4.082, 4.512 Å; angles 90.00, 90.00, 90.00 degrees
Atoms (fractional coordinates):
Na (0.000, 0.000, 0.000)
Sn (0.500, 0.500, 0.500)
N (0.000, 0.000, 0.500)
F (0.000, 0.500, 0.000)
F (0.500, 0.000, 0.000)



Compound: Tm2ThSb2
Source: Alexandria
Functional: PBE
Structure: relaxed

Calculated values
- Total energy: -0.201 hartree per atom
- Crystal system: monoclinic

Cell lengths 7.944, 7.944, 5.949 Å; angles 110.73, 110.73, 99.41 degrees
Atoms (fractional coordinates):
Tm (0.096, 0.275, 0.472)
Tm (0.275, 0.096, 0.972)
Tm (0.725, 0.904, 0.028)
Tm (0.904, 0.725, 0.528)
Th (0.400, 0.600, 0.250)
Th (0.600, 0.400, 0.750)
Sb (0.128, 0.872, 0.250)
Sb (0.311, 0.689, 0.750)
Sb (0.689, 0.311, 0.250)
Sb (0.872, 0.128, 0.750)



Respective energy relative to the elements, uncorrected values: -0.619; -0.552 eV per atom.
Respective ρ values: 4279; 8716 kg/m3.